(1)
! Ce2ZrZn, relaxed, DFT PBE; values from VASP
&SYSTEM
  ibrav = 0, nat = 16, ntyp = 3
/
ATOMIC_SPECIES
Ce 140.12 Ce.upf
Zr 91.22 Zr.upf
Zn 65.41 Zn.upf
CELL_PARAMETERS angstrom
7.3112 0.0000 0.0000
0.0000 7.3112 0.0000
0.0000 0.0000 7.3112
ATOMIC_POSITIONS crystal
Ce 0.2500 0.2500 0.2500
Ce 0.2500 0.2500 0.7500
Ce 0.2500 0.7500 0.2500
Ce 0.2500 0.7500 0.7500
Ce 0.7500 0.2500 0.2500
Ce 0.7500 0.2500 0.7500
Ce 0.7500 0.7500 0.2500
Ce 0.7500 0.7500 0.7500
Zr 0.0000 0.0000 0.0000
Zr 0.0000 0.5000 0.5000
Zr 0.5000 0.0000 0.5000
Zr 0.5000 0.5000 0.0000
Zn 0.0000 0.0000 0.5000
Zn 0.0000 0.5000 0.0000
Zn 0.5000 0.0000 0.0000
Zn 0.5000 0.5000 0.5000
! size of the total moment	0.002	μB/cell
! ρ	7.425	Mg/m³
! energy relative to the elements	95	meV/atom
! calculated volume	24.43	A^3/atom
! ΔE to the lowest computed polymorph	128	meV/atom
! electronic total energy	-85.2	eV/cell

---

(2)
! TcSbSe4, relaxed, DFT PBE; values from VASP
&SYSTEM
  ibrav = 0, nat = 6, ntyp = 3
/
ATOMIC_SPECIES
Tc 98.00 Tc.upf
Sb 121.76 Sb.upf
Se 78.96 Se.upf
CELL_PARAMETERS angstrom
0.0000 4.0416 4.0416
4.0416 0.0000 4.0416
4.0416 4.0416 0.0000
ATOMIC_POSITIONS crystal
Tc 0.0000 0.0000 0.0000
Sb 0.7500 0.7500 0.7500
Se 0.3738 0.3738 0.3738
Se 0.3738 0.3738 0.8785
Se 0.3738 0.8785 0.3738
Se 0.8785 0.3738 0.3738
! size of the total moment	3.670	μB/cell
! ρ	6.736	Mg/m³
! calculated volume	22.01	A^3/atom
! E_form (uncorrected)	0.99	eV per atom
! electronic total energy	-22.5	eV/cell

---

(3)
! Ho2ZrPb, relaxed, DFT PBE; values from VASP
&SYSTEM
  ibrav = 0, nat = 12, ntyp = 3
/
ATOMIC_SPECIES
Ho 164.93 Ho.upf
Zr 91.22 Zr.upf
Pb 207.20 Pb.upf
CELL_PARAMETERS angstrom
3.5025 0.0000 0.0000
-1.7512 3.0332 0.0000
0.0000 0.0000 31.6299
ATOMIC_POSITIONS crystal
Ho 0.0000 0.0000 0.0000
Ho 0.0000 0.0000 0.1646
Ho 0.3333 0.6667 0.6667
Ho 0.3333 0.6667 0.8313
Ho 0.6667 0.3333 0.3333
Ho 0.6667 0.3333 0.4980
Zr 0.0000 0.0000 0.7494
Zr 0.3333 0.6667 0.4160
Zr 0.6667 0.3333 0.0827
Pb 0.0000 0.0000 0.5825
Pb 0.3333 0.6667 0.2492
Pb 0.6667 0.3333 0.9158
! size of the total moment	0.000	μB/cell
! ρ	9.314	Mg/m³
! energy relative to the elements	-115	meV/atom
! calculated volume	28.00	A^3/atom
! ΔE to the lowest computed polymorph	58	meV/atom
! electronic total energy	-65.6	eV/cell

---

(4)
! KRbV3, relaxed, DFT PBE; values from VASP
&SYSTEM
  ibrav = 0, nat = 5, ntyp = 3
/
ATOMIC_SPECIES
K 39.10 K.upf
Rb 85.47 Rb.upf
V 50.94 V.upf
CELL_PARAMETERS angstrom
5.8316 0.0000 0.0000
0.0000 5.8316 0.0000
0.0000 0.0000 5.8316
ATOMIC_POSITIONS crystal
K 0.0000 0.0000 0.0000
Rb 0.5000 0.5000 0.5000
V 0.0000 0.0000 0.5000
V 0.0000 0.5000 0.0000
V 0.5000 0.0000 0.0000
! size of the total moment	13.541	μB/cell
! ρ	2.323	Mg/m³
! energy relative to the elements	2373	meV/atom
! calculated volume	39.66	A^3/atom
! ΔE to the lowest computed polymorph	0	meV/atom
! electronic total energy	-17.6	eV/cell

---

(5)
! Pm3Zn8Ir, relaxed, DFT PBE; values from VASP
&SYSTEM
  ibrav = 0, nat = 12, ntyp = 3
/
ATOMIC_SPECIES
Pm 145.00 Pm.upf
Zn 65.41 Zn.upf
Ir 192.22 Ir.upf
CELL_PARAMETERS angstrom
2.6509 1.5305 9.2564
-2.6509 1.5305 9.2564
0.0000 -3.0610 9.2564
ATOMIC_POSITIONS crystal
Pm 0.0000 0.0000 0.0000
Pm 0.1271 0.1271 0.1271
Pm 0.6106 0.6106 0.6106
Zn 0.0540 0.0540 0.5573
Zn 0.0540 0.5573 0.0540
Zn 0.0654 0.5598 0.5598
Zn 0.3064 0.3064 0.3064
Zn 0.5573 0.0540 0.0540
Zn 0.5598 0.0654 0.5598
Zn 0.5598 0.5598 0.0654
Zn 0.8098 0.8098 0.8098
Ir 0.5086 0.5086 0.5086
! size of the total moment	0.000	μB/cell
! ρ	8.478	Mg/m³
! energy relative to the elements	-278	meV/atom
! calculated volume	18.78	A^3/atom
! electronic total energy	-36.6	eV/cell

---

(6)
! LiCa2Ta, relaxed, DFT PBE; values from VASP
&SYSTEM
  ibrav = 0, nat = 16, ntyp = 3
/
ATOMIC_SPECIES
Li 6.94 Li.upf
Ca 40.08 Ca.upf
Ta 180.95 Ta.upf
CELL_PARAMETERS angstrom
8.1004 0.0000 0.0000
0.0000 8.1004 0.0000
0.0000 0.0000 6.3577
ATOMIC_POSITIONS crystal
Li 0.0000 0.0000 0.0000
Li 0.0000 0.5000 0.2500
Li 0.5000 0.0000 0.7500
Li 0.5000 0.5000 0.5000
Ca 0.2197 0.2500 0.1250
Ca 0.2500 0.7197 0.3750
Ca 0.2500 0.7803 0.8750
Ca 0.2803 0.2500 0.6250
Ca 0.7197 0.7500 0.6250
Ca 0.7500 0.2197 0.8750
Ca 0.7500 0.2803 0.3750
Ca 0.7803 0.7500 0.1250
Ta 0.0000 0.0000 0.5000
Ta 0.0000 0.5000 0.7500
Ta 0.5000 0.0000 0.2500
Ta 0.5000 0.5000 0.0000
! size of the total moment	7.959	μB/cell
! ρ	4.268	Mg/m³
! energy relative to the elements	987	meV/atom
! calculated volume	26.07	A^3/atom
! ΔE to the lowest computed polymorph	498	meV/atom
! electronic total energy	-55.3	eV/cell

---

> Number 6 is which compound?

LiCa2Ta

---

> Which value of calculated volume does entry 1 give?

24.43 A^3/atom